Compound: KWF3
Source: Alexandria via LeMat-Bulk
Functional: GGA+U
Structure: relaxed

Cell and atoms, written as POSCAR:
```
KWF3
1.0
-4.2116 -0.3059 -1.6084
0.3433 -4.5054 -0.0422
-1.6009 -0.1616 4.2225
K W F
1 1 3
direct
0.5000 0.5000 0.5000
0.0000 0.0000 0.0000
0.0000 0.5000 0.0000
0.0000 0.0000 0.5000
0.5000 0.0000 0.0000
```

Output
Crystal system ... cubic
SG ... Pm-3m, No. 221
Offset from the most stable computed form ... 0.000 eV/atom
Calculated volume ... 18.45 Å³ per atom
VASP energy ... -4.806 eV per atom
Total magnetization ... 3.7 μB/cell

---

Compound: Pb5W2O12
Source: Alexandria via LeMat-Bulk
Functional: GGA+U
Structure: relaxed

Cell and atoms, written as POSCAR:
```
Pb5W2O12
1.0
6.1100 0.0000 0.0000
-3.0550 6.8320 -0.0093
0.0000 -2.4148 7.6074
Pb W O
5 2 12
direct
0.2947 0.5894 0.6235
0.2974 0.5948 0.1820
0.0000 0.0000 0.5000
0.7026 0.4052 0.8180
0.7053 0.4106 0.3765
0.7509 0.0000 0.0000
0.2491 0.0000 0.0000
0.9883 0.9765 0.1567
0.1104 0.7113 0.9007
0.6009 0.7113 0.9007
0.0902 0.6732 0.4323
0.5830 0.6732 0.4323
0.5075 0.0149 0.8402
0.4925 0.9851 0.1598
0.9098 0.3268 0.5677
0.4170 0.3268 0.5677
0.8896 0.2887 0.0993
0.3991 0.2887 0.0993
0.0117 0.0235 0.8433
```

Output
Crystal system ... monoclinic
SG ... C2/m, No. 12
Offset from the most stable computed form ... 0.032 eV/atom
Calculated volume ... 16.71 Å³ per atom
VASP energy ... -6.236 eV per atom
Total magnetization ... 0.0 μB/cell